First-principles (GGA+U) data for a geometry-optimized Y2CoPdO6 structure, as listed in Alexandria via LeMat-Bulk.

Size of the total moment in Bohr magnetons per cell: 6.1
Total DFT energy (no corrections) in eV per cell: -148.51
SG: No. 14

a b c (Å): 5.3217 5.7622 9.3365
angles (deg): 90.00 124.73 90.00
Closest atoms and distances in Å follow each position.
Fractional coordinates of all 20 atoms:
Y (0.2255, 0.0763, 0.2497)  6 O 2.26-2.51
Y (0.2255, 0.4237, 0.7497)  6 O 2.26-2.51
Y (0.7745, 0.5763, 0.2503)  6 O 2.26-2.51
Y (0.7745, 0.9237, 0.7503)  6 O 2.26-2.51
Co (0.0000, 0.0000, 0.5000)  6 O 2.03-2.09
Co (0.0000, 0.5000, 0.0000)  6 O 2.03-2.09
Pd (0.5000, 0.0000, 0.0000)  6 O 2.05-2.07
Pd (0.5000, 0.5000, 0.5000)  6 O 2.05-2.07
O (0.1266, 0.1913, 0.9403)  1 Pd 2.05, 1 Co 2.09, 1 Y 2.29
O (0.1266, 0.3087, 0.4403)  1 Pd 2.05, 1 Co 2.09, 1 Y 2.29
O (0.2528, 0.6957, 0.9388)  1 Pd 2.07, 1 Co 2.07, 1 Y 2.30
O (0.2528, 0.8043, 0.4388)  1 Pd 2.07, 1 Co 2.07, 1 Y 2.30
O (0.3704, 0.0473, 0.7488)  1 Co 2.03, 1 Pd 2.05, 1 Y 2.26
O (0.3704, 0.4527, 0.2488)  1 Co 2.03, 1 Pd 2.05, 1 Y 2.26
O (0.6296, 0.5473, 0.7512)  1 Co 2.03, 1 Pd 2.05, 1 Y 2.26
O (0.6296, 0.9527, 0.2512)  1 Co 2.03, 1 Pd 2.05, 1 Y 2.26
O (0.7472, 0.1957, 0.5612)  1 Pd 2.07, 1 Co 2.07, 1 Y 2.30
O (0.7472, 0.3043, 0.0612)  1 Pd 2.07, 1 Co 2.07, 1 Y 2.30
O (0.8734, 0.6913, 0.5597)  1 Pd 2.05, 1 Co 2.09, 1 Y 2.29
O (0.8734, 0.8087, 0.0597)  1 Pd 2.05, 1 Co 2.09, 1 Y 2.29